TbDyGa2Ir4: relaxed, GGA-PBE.

```
8
Lattice="-0.927 1.594 4.206 -1.266 -4.213 1.318 6.105 -1.264 1.825" Properties=species:S:1:pos:R:3 pbc="T T T"
Ir 3.950 -3.055 2.029
Ir 4.119 -0.151 3.473
Ir 0.890 -2.422 1.114
Ir 1.059 0.482 2.558
Tb 1.956 -1.941 3.674
Ga -1.096 -1.309 2.762
Ga 3.053 -0.632 0.912
Dy 0.000 0.000 0.000
```

Calculated values
The calculation puts the polymorph energy (0 for the lowest one) at 26 meV/atom. Its total magnetic moment is 0.01 μB/f.u.